# 1
# ZrVBi3, relaxed, DFT PBE
data_ZrVBi3
_cell_length_a 5.2822
_cell_length_b 5.2822
_cell_length_c 5.2822
_cell_angle_alpha 90.00
_cell_angle_beta 90.00
_cell_angle_gamma 90.00
_space_group_name_H-M_alt 'P 1'
_space_group_IT_number 1
loop_
_space_group_symop_operation_xyz
'x,y,z'
loop_
_atom_site_label
_atom_site_type_symbol
_atom_site_fract_x
_atom_site_fract_y
_atom_site_fract_z
Zr1 Zr 0.0000 0.0000 0.0000
V1 V 0.5000 0.5000 0.5000
Bi1 Bi 0.0000 0.5000 0.5000
Bi2 Bi 0.5000 0.0000 0.5000
Bi3 Bi 0.5000 0.5000 0.0000
# **Energy of formation**: 67.1 kJ per mole of atoms
# **Energy relative to the lowest polymorph listed for this composition**: 0 meV per atom
# **Magnetization**: 2.50 μB per formula unit
# **N(E_F)**: 1.7174 states/eV/atom

# 2
# Zr2V2Bi, relaxed, DFT PBE
data_Zr2V2Bi
_cell_length_a 7.3428
_cell_length_b 7.3428
_cell_length_c 3.7172
_cell_angle_alpha 90.00
_cell_angle_beta 90.00
_cell_angle_gamma 90.00
_space_group_name_H-M_alt 'P 1'
_space_group_IT_number 1
loop_
_space_group_symop_operation_xyz
'x,y,z'
loop_
_atom_site_label
_atom_site_type_symbol
_atom_site_fract_x
_atom_site_fract_y
_atom_site_fract_z
Zr1 Zr 0.1875 0.3125 0.0000
Zr2 Zr 0.3125 0.8125 0.0000
Zr3 Zr 0.6875 0.1875 0.0000
Zr4 Zr 0.8125 0.6875 0.0000
V1 V 0.1002 0.6002 0.5000
V2 V 0.3998 0.1002 0.5000
V3 V 0.6002 0.8998 0.5000
V4 V 0.8998 0.3998 0.5000
Bi1 Bi 0.0000 0.0000 0.5000
Bi2 Bi 0.5000 0.5000 0.5000
# **Energy of formation**: 4.0 kJ per mole of atoms
# **Magnetization**: 0.00 μB per formula unit
# **N(E_F)**: 0.8247 states/eV/atom

# 3
# Zr12VBi6, relaxed, DFT PBE
data_Zr12VBi6
_cell_length_a 8.1197
_cell_length_b 8.1197
_cell_length_c 8.1197
_cell_angle_alpha 101.79
_cell_angle_beta 101.79
_cell_angle_gamma 101.79
_space_group_name_H-M_alt 'P 1'
_space_group_IT_number 1
loop_
_space_group_symop_operation_xyz
'x,y,z'
loop_
_atom_site_label
_atom_site_type_symbol
_atom_site_fract_x
_atom_site_fract_y
_atom_site_fract_z
Zr1 Zr 0.0038 0.0457 0.3193
Zr2 Zr 0.0457 0.3193 0.0038
Zr3 Zr 0.2155 0.5064 0.3981
Zr4 Zr 0.3193 0.0038 0.0457
Zr5 Zr 0.3981 0.2155 0.5064
Zr6 Zr 0.4936 0.6019 0.7845
Zr7 Zr 0.5064 0.3981 0.2155
Zr8 Zr 0.6019 0.7845 0.4936
Zr9 Zr 0.6807 0.9962 0.9543
Zr10 Zr 0.7845 0.4936 0.6019
Zr11 Zr 0.9543 0.6807 0.9962
Zr12 Zr 0.9962 0.9543 0.6807
V1 V 0.0000 0.0000 0.0000
Bi1 Bi 0.1090 0.3405 0.6637
Bi2 Bi 0.3363 0.8910 0.6595
Bi3 Bi 0.3405 0.6637 0.1090
Bi4 Bi 0.6595 0.3363 0.8910
Bi5 Bi 0.6637 0.1090 0.3405
Bi6 Bi 0.8910 0.6595 0.3363
# **Energy of formation**: 5.5 kJ per mole of atoms
# **Magnetization**: 0.00 μB per formula unit
# **N(E_F)**: 1.0377 states/eV/atom

# 4
# Zr2VBi, relaxed, DFT PBE
data_Zr2VBi
_cell_length_a 9.4573
_cell_length_b 9.4573
_cell_length_c 9.4573
_cell_angle_alpha 20.35
_cell_angle_beta 20.35
_cell_angle_gamma 20.35
_space_group_name_H-M_alt 'P 1'
_space_group_IT_number 1
loop_
_space_group_symop_operation_xyz
'x,y,z'
loop_
_atom_site_label
_atom_site_type_symbol
_atom_site_fract_x
_atom_site_fract_y
_atom_site_fract_z
Zr1 Zr 0.2408 0.2408 0.2408
Zr2 Zr 0.7592 0.7592 0.7592
V1 V 0.5000 0.5000 0.5000
Bi1 Bi 0.0000 0.0000 0.0000
# **Energy of formation**: 17.5 kJ per mole of atoms
# **Magnetization**: 0.98 μB per formula unit
# **N(E_F)**: 0.8915 states/eV/atom

# 5
# Bi4W, relaxed, DFT PBE
data_Bi4W
_cell_length_a 5.4261
_cell_length_b 5.4261
_cell_length_c 5.4261
_cell_angle_alpha 90.00
_cell_angle_beta 90.00
_cell_angle_gamma 90.00
_space_group_name_H-M_alt 'P 1'
_space_group_IT_number 1
loop_
_space_group_symop_operation_xyz
'x,y,z'
loop_
_atom_site_label
_atom_site_type_symbol
_atom_site_fract_x
_atom_site_fract_y
_atom_site_fract_z
Bi1 Bi 0.0000 0.0000 0.0000
Bi2 Bi 0.0000 0.5000 0.5000
Bi3 Bi 0.5000 0.0000 0.5000
Bi4 Bi 0.5000 0.5000 0.0000
W1 W 0.5000 0.5000 0.5000
# **Energy of formation**: 73.3 kJ per mole of atoms
# **Magnetization**: 0.12 μB per formula unit
# **N(E_F)**: 1.5429 states/eV/atom

# 6
# Y3BiW, relaxed, DFT PBE
data_Y3BiW
_cell_length_a 5.6840
_cell_length_b 5.6840
_cell_length_c 5.6840
_cell_angle_alpha 90.00
_cell_angle_beta 90.00
_cell_angle_gamma 90.00
_space_group_name_H-M_alt 'P 1'
_space_group_IT_number 1
loop_
_space_group_symop_operation_xyz
'x,y,z'
loop_
_atom_site_label
_atom_site_type_symbol
_atom_site_fract_x
_atom_site_fract_y
_atom_site_fract_z
Y1 Y 0.0000 0.0000 0.5000
Y2 Y 0.0000 0.5000 0.0000
Y3 Y 0.5000 0.0000 0.0000
Bi1 Bi 0.0000 0.0000 0.0000
W1 W 0.5000 0.5000 0.5000
# **Energy of formation**: 119.2 kJ per mole of atoms
# **Energy relative to the lowest polymorph listed for this composition**: 879 meV per atom
# **Magnetization**: 2.23 μB per formula unit
# **N(E_F)**: 1.5903 states/eV/atom

# 7
# YBiW3, relaxed, DFT PBE
data_YBiW3
_cell_length_a 5.0480
_cell_length_b 5.0480
_cell_length_c 5.0480
_cell_angle_alpha 90.00
_cell_angle_beta 90.00
_cell_angle_gamma 90.00
_space_group_name_H-M_alt 'P 1'
_space_group_IT_number 1
loop_
_space_group_symop_operation_xyz
'x,y,z'
loop_
_atom_site_label
_atom_site_type_symbol
_atom_site_fract_x
_atom_site_fract_y
_atom_site_fract_z
Y1 Y 0.0000 0.0000 0.0000
Bi1 Bi 0.5000 0.5000 0.5000
W1 W 0.0000 0.5000 0.5000
W2 W 0.5000 0.0000 0.5000
W3 W 0.5000 0.5000 0.0000
# **Energy of formation**: 231.1 kJ per mole of atoms
# **Energy relative to the lowest polymorph listed for this composition**: 0 meV per atom
# **Magnetization**: 0.00 μB per formula unit
# **N(E_F)**: 1.4935 states/eV/atom

# 8
# YBi2W, relaxed, DFT PBE
data_YBi2W
_cell_length_a 11.0442
_cell_length_b 11.0442
_cell_length_c 11.0442
_cell_angle_alpha 156.27
_cell_angle_beta 156.27
_cell_angle_gamma 33.80
_space_group_name_H-M_alt 'P 1'
_space_group_IT_number 1
loop_
_space_group_symop_operation_xyz
'x,y,z'
loop_
_atom_site_label
_atom_site_type_symbol
_atom_site_fract_x
_atom_site_fract_y
_atom_site_fract_z
Y1 Y 0.0000 0.0000 0.0000
Y2 Y 0.7500 0.2500 0.5000
Bi1 Bi 0.1416 0.6250 0.0166
Bi2 Bi 0.3750 0.3916 0.5165
Bi3 Bi 0.6085 0.1250 0.9834
Bi4 Bi 0.8750 0.8584 0.4834
W1 W 0.2500 0.7500 0.5000
W2 W 0.5000 0.5000 0.0000
# **Energy of formation**: 67.9 kJ per mole of atoms
# **Energy relative to the lowest polymorph listed for this composition**: 429 meV per atom
# **Magnetization**: 0.47 μB per formula unit
# **N(E_F)**: 1.0714 states/eV/atom

# 9
# YBi2W, relaxed, DFT PBE
data_YBi2W
_cell_length_a 5.1130
_cell_length_b 5.1130
_cell_length_c 5.1130
_cell_angle_alpha 60.00
_cell_angle_beta 60.00
_cell_angle_gamma 60.00
_space_group_name_H-M_alt 'P 1'
_space_group_IT_number 1
loop_
_space_group_symop_operation_xyz
'x,y,z'
loop_
_atom_site_label
_atom_site_type_symbol
_atom_site_fract_x
_atom_site_fract_y
_atom_site_fract_z
Y1 Y 0.0000 0.0000 0.0000
Bi1 Bi 0.2500 0.2500 0.2500
Bi2 Bi 0.7500 0.7500 0.7500
W1 W 0.5000 0.5000 0.5000
# **Energy of formation**: 26.5 kJ per mole of atoms
# **Energy relative to the lowest polymorph listed for this composition**: 0 meV per atom
# **Magnetization**: 0.00 μB per formula unit
# **N(E_F)**: 0.6237 states/eV/atom

# 10
# Y3BiW, relaxed, DFT PBE
data_Y3BiW
_cell_length_a 5.4068
_cell_length_b 5.4068
_cell_length_c 5.4068
_cell_angle_alpha 90.00
_cell_angle_beta 90.00
_cell_angle_gamma 90.00
_space_group_name_H-M_alt 'P 1'
_space_group_IT_number 1
loop_
_space_group_symop_operation_xyz
'x,y,z'
loop_
_atom_site_label
_atom_site_type_symbol
_atom_site_fract_x
_atom_site_fract_y
_atom_site_fract_z
Y1 Y 0.0000 0.0000 0.5000
Y2 Y 0.0000 0.5000 0.0000
Y3 Y 0.5000 0.0000 0.0000
Bi1 Bi 0.5000 0.5000 0.5000
W1 W 0.0000 0.0000 0.0000
# **Energy of formation**: 34.4 kJ per mole of atoms
# **Energy relative to the lowest polymorph listed for this composition**: 0 meV per atom
# **Magnetization**: 0.00 μB per formula unit
# **N(E_F)**: 0.4869 states/eV/atom

# 11
# YBiW3, relaxed, DFT PBE
data_YBiW3
_cell_length_a 4.9429
_cell_length_b 4.9429
_cell_length_c 4.9429
_cell_angle_alpha 90.00
_cell_angle_beta 90.00
_cell_angle_gamma 90.00
_space_group_name_H-M_alt 'P 1'
_space_group_IT_number 1
loop_
_space_group_symop_operation_xyz
'x,y,z'
loop_
_atom_site_label
_atom_site_type_symbol
_atom_site_fract_x
_atom_site_fract_y
_atom_site_fract_z
Y1 Y 0.0000 0.0000 0.0000
Bi1 Bi 0.5000 0.5000 0.5000
W1 W 0.0000 0.0000 0.5000
W2 W 0.0000 0.5000 0.0000
W3 W 0.5000 0.0000 0.0000
# **Energy of formation**: 275.6 kJ per mole of atoms
# **Energy relative to the lowest polymorph listed for this composition**: 461 meV per atom
# **Magnetization**: 0.00 μB per formula unit
# **N(E_F)**: 0.6976 states/eV/atom

# 12
# YBiW2, relaxed, DFT PBE
data_YBiW2
_cell_length_a 6.4483
_cell_length_b 6.4483
_cell_length_c 6.4483
_cell_angle_alpha 101.02
_cell_angle_beta 101.02
_cell_angle_gamma 128.16
_space_group_name_H-M_alt 'P 1'
_space_group_IT_number 1
loop_
_space_group_symop_operation_xyz
'x,y,z'
loop_
_atom_site_label
_atom_site_type_symbol
_atom_site_fract_x
_atom_site_fract_y
_atom_site_fract_z
Y1 Y 0.0000 0.0000 0.0000
Y2 Y 0.7500 0.2500 0.5000
Bi1 Bi 0.2500 0.7500 0.5000
Bi2 Bi 0.5000 0.5000 0.0000
W1 W 0.1595 0.1250 0.5345
W2 W 0.3750 0.8405 0.9655
W3 W 0.5905 0.6250 0.4655
W4 W 0.8750 0.4095 0.0345
# **Energy of formation**: 131.9 kJ per mole of atoms
# **Magnetization**: 0.00 μB per formula unit
# **N(E_F)**: 1.1895 states/eV/atom

# 13
# Y2BiW, relaxed, DFT PBE
data_Y2BiW
_cell_length_a 6.6761
_cell_length_b 6.6761
_cell_length_c 6.6761
_cell_angle_alpha 102.13
_cell_angle_beta 102.13
_cell_angle_gamma 125.43
_space_group_name_H-M_alt 'P 1'
_space_group_IT_number 1
loop_
_space_group_symop_operation_xyz
'x,y,z'
loop_
_atom_site_label
_atom_site_type_symbol
_atom_site_fract_x
_atom_site_fract_y
_atom_site_fract_z
Y1 Y 0.0730 0.6250 0.9480
Y2 Y 0.3750 0.3230 0.4480
Y3 Y 0.6770 0.1250 0.0520
Y4 Y 0.8750 0.9270 0.5520
Bi1 Bi 0.2500 0.7500 0.5000
Bi2 Bi 0.5000 0.5000 0.0000
W1 W 0.0000 0.0000 0.0000
W2 W 0.7500 0.2500 0.5000
# **Energy of formation**: 59.6 kJ per mole of atoms
# **Magnetization**: 0.00 μB per formula unit
# **N(E_F)**: 0.9431 states/eV/atom